Computed, not measured: crystalline ScMn3Tl2F12 at its relaxed geometry at the GGA+U level of DFT.

Calculated values
DOS(E_F) = 0.040 states/eV per atom
Total DFT energy (no corrections) = -5.85 eV per atom
SG = No. 166

abc: 7.743 7.743 7.743
angles: 58.16 58.16 58.16
Element x y z (fractional)
Sc1 0.000 0.000 0.000
Mn1 0.000 0.000 0.500
Mn2 0.000 0.500 0.000
Mn3 0.500 0.000 0.000
Tl1 0.389 0.389 0.389
Tl2 0.611 0.611 0.611
F1 0.071 0.071 0.682
F2 0.071 0.682 0.071
F3 0.074 0.680 0.680
F4 0.318 0.929 0.929
F5 0.320 0.320 0.926
F6 0.320 0.926 0.320
F7 0.680 0.074 0.680
F8 0.680 0.680 0.074
F9 0.682 0.071 0.071
F10 0.926 0.320 0.320
F11 0.929 0.318 0.929
F12 0.929 0.929 0.318